No. 1
Entry from Alexandria via LeMat-Bulk: KAl2Si2 after structural relaxation (GGA-PBE).

Values from the calculation:
offset from the most stable computed form: 0 meV per atom
density of states at the Fermi level: 0.32 states/eV/atom
total magnetization: 0.00 μB/f.u.

Geometry as CIF:
```
data_KAl2Si2
_cell_length_a 4.490
_cell_length_b 4.490
_cell_length_c 10.323
_cell_angle_alpha 90.00
_cell_angle_beta 90.00
_cell_angle_gamma 90.00
_symmetry_space_group_name_H-M 'I 4/m m m'
_symmetry_Int_Tables_number 139
_symmetry_space_group_name_Hall '-I 4 2'
loop_
_atom_site_label
_atom_site_fract_x
_atom_site_fract_y
_atom_site_fract_z
K1 0.000 0.000 0.000
Al1 0.000 0.500 0.250
Si1 0.000 0.000 0.378
```

***

No. 2
Entry from Alexandria via LeMat-Bulk: KAlSi after structural relaxation (GGA-PBE).

Values from the calculation:
raw total energy: -3.311 eV/atom
density of states at the Fermi level: 0.00 states/eV/atom
total magnetization: 0.00 μB/f.u.

Geometry as CIF:
```
data_KAlSi
_cell_length_a 13.507
_cell_length_b 4.186
_cell_length_c 9.305
_cell_angle_alpha 90.00
_cell_angle_beta 114.86
_cell_angle_gamma 90.00
_symmetry_space_group_name_H-M 'C 1 m 1'
_symmetry_Int_Tables_number 8
_symmetry_space_group_name_Hall 'C -2y'
loop_
_atom_site_label
_atom_site_fract_x
_atom_site_fract_y
_atom_site_fract_z
K1 0.000 0.000 0.000
K2 0.002 0.000 0.501
Al1 0.229 0.000 0.903
Al2 0.273 0.500 0.101
Si1 0.124 0.500 0.817
Si2 0.378 0.000 0.187
```

***

No. 3
Entry from Alexandria via LeMat-Bulk: KAlSi after structural relaxation (GGA-PBE).

Values from the calculation:
raw total energy: -3.290 eV/atom
density of states at the Fermi level: 0.30 states/eV/atom
total magnetization: 0.00 μB/f.u.

Geometry as CIF:
```
data_KAlSi
_cell_length_a 18.163
_cell_length_b 4.915
_cell_length_c 3.739
_cell_angle_alpha 90.00
_cell_angle_beta 101.76
_cell_angle_gamma 90.00
_symmetry_space_group_name_H-M 'C 1 2 1'
_symmetry_Int_Tables_number 5
_symmetry_space_group_name_Hall 'C 2y'
loop_
_atom_site_label
_atom_site_fract_x
_atom_site_fract_y
_atom_site_fract_z
K1 0.173 0.000 0.172
Al1 0.082 0.493 0.582
Si1 0.000 0.050 0.500
Si2 0.000 0.725 0.000
```